P.
## AlTl2Te (PBEsol)

Data for a relaxed AlTl2Te crystal. Values from VASP.

The crystal system is tetragonal. Its density of states at the Fermi level is 1.63 states/eV/cell.

The structure in Quantum ESPRESSO input format:
```
&SYSTEM
  ibrav = 0, nat = 4, ntyp = 3
/
ATOMIC_SPECIES
Al 26.98 Al.upf
Tl 204.38 Tl.upf
Te 127.60 Te.upf
CELL_PARAMETERS angstrom
4.6142 0.0000 0.0000
0.0000 4.6142 0.0000
0.0000 0.0000 5.1128
ATOMIC_POSITIONS crystal
Al 0.0000 0.0000 0.0000
Tl 0.0000 0.5000 0.5000
Tl 0.5000 0.0000 0.5000
Te 0.5000 0.5000 0.0000
```

Q.
## AlTl2Te (PBEsol)

Data for a relaxed AlTl2Te crystal. Values from VASP.

The crystal system is tetragonal. Its density of states at the Fermi level is 2.90 states/eV/cell.

The structure in Quantum ESPRESSO input format:
```
&SYSTEM
  ibrav = 0, nat = 8, ntyp = 3
/
ATOMIC_SPECIES
Al 26.98 Al.upf
Tl 204.38 Tl.upf
Te 127.60 Te.upf
CELL_PARAMETERS angstrom
4.6222 0.0000 0.0000
0.0000 4.6222 0.0000
0.0000 0.0000 10.2096
ATOMIC_POSITIONS crystal
Al 0.0000 0.0000 0.0000
Al 0.5000 0.5000 0.5000
Tl 0.0000 0.0000 0.5000
Tl 0.0000 0.5000 0.7500
Tl 0.5000 0.0000 0.2500
Tl 0.5000 0.5000 0.0000
Te 0.0000 0.5000 0.2500
Te 0.5000 0.0000 0.7500
```

Which is most stable, and by how much? P, by 0.019 eV/atom.

P.
## AlZn2Te (PBEsol)

Data for a relaxed AlZn2Te crystal. Values from VASP.

The crystal system is cubic. Its density of states at the Fermi level is 5.01 states/eV/cell.

The structure in Quantum ESPRESSO input format:
```
&SYSTEM
  ibrav = 0, nat = 16, ntyp = 3
/
ATOMIC_SPECIES
Al 26.98 Al.upf
Zn 65.41 Zn.upf
Te 127.60 Te.upf
CELL_PARAMETERS angstrom
6.8416 0.0000 0.0000
0.0000 6.8416 0.0000
0.0000 0.0000 6.8416
ATOMIC_POSITIONS crystal
Al 0.0000 0.0000 0.0000
Al 0.0000 0.5000 0.5000
Al 0.5000 0.0000 0.5000
Al 0.5000 0.5000 0.0000
Zn 0.0000 0.0000 0.5000
Zn 0.0000 0.5000 0.0000
Zn 0.2500 0.2500 0.2500
Zn 0.2500 0.7500 0.7500
Zn 0.5000 0.0000 0.0000
Zn 0.5000 0.5000 0.5000
Zn 0.7500 0.2500 0.7500
Zn 0.7500 0.7500 0.2500
Te 0.2500 0.2500 0.7500
Te 0.2500 0.7500 0.2500
Te 0.7500 0.2500 0.2500
Te 0.7500 0.7500 0.7500
```

Q.
## AlZn2Te (PBEsol)

Data for a relaxed AlZn2Te crystal. Values from VASP.

The crystal system is tetragonal. Its density of states at the Fermi level is 5.73 states/eV/cell.

The structure in Quantum ESPRESSO input format:
```
&SYSTEM
  ibrav = 0, nat = 16, ntyp = 3
/
ATOMIC_SPECIES
Al 26.98 Al.upf
Zn 65.41 Zn.upf
Te 127.60 Te.upf
CELL_PARAMETERS angstrom
6.4904 0.0000 0.0000
0.0000 6.4904 0.0000
0.0000 0.0000 9.5820
ATOMIC_POSITIONS crystal
Al 0.0000 0.0000 0.0000
Al 0.0000 0.5000 0.2500
Al 0.5000 0.0000 0.7500
Al 0.5000 0.5000 0.5000
Zn 0.2382 0.2500 0.1250
Zn 0.2500 0.7382 0.3750
Zn 0.2500 0.7618 0.8750
Zn 0.2618 0.2500 0.6250
Zn 0.7382 0.7500 0.6250
Zn 0.7500 0.2382 0.8750
Zn 0.7500 0.2618 0.3750
Zn 0.7618 0.7500 0.1250
Te 0.0000 0.0000 0.5000
Te 0.0000 0.5000 0.7500
Te 0.5000 0.0000 0.2500
Te 0.5000 0.5000 0.0000
```

Which is most stable, and by how much? Q, by 0.025 eV/atom.

P.
## Zr2AlTe (PBEsol)

Data for a relaxed Zr2AlTe crystal. Values from VASP.

The crystal system is orthorhombic. Its density of states at the Fermi level is 3.03 states/eV/cell.

The structure in Quantum ESPRESSO input format:
```
&SYSTEM
  ibrav = 0, nat = 4, ntyp = 3
/
ATOMIC_SPECIES
Zr 91.22 Zr.upf
Al 26.98 Al.upf
Te 127.60 Te.upf
CELL_PARAMETERS angstrom
3.3946 0.0000 0.0000
0.0000 3.8508 0.0000
0.0000 0.0000 6.2760
ATOMIC_POSITIONS crystal
Zr 0.0000 0.0000 0.2420
Zr 0.0000 0.0000 0.7580
Al 0.5000 0.5000 0.0000
Te 0.5000 0.5000 0.5000
```

Q.
## Zr2AlTe (PBEsol)

Data for a relaxed Zr2AlTe crystal. Values from VASP.

The crystal system is monoclinic. Its density of states at the Fermi level is 5.64 states/eV/cell.

The structure in Quantum ESPRESSO input format:
```
&SYSTEM
  ibrav = 0, nat = 8, ntyp = 3
/
ATOMIC_SPECIES
Zr 91.22 Zr.upf
Al 26.98 Al.upf
Te 127.60 Te.upf
CELL_PARAMETERS angstrom
6.2633 0.0000 0.0000
0.0000 7.8180 0.0000
-0.5148 0.0000 3.3770
ATOMIC_POSITIONS crystal
Zr 0.2500 0.2500 0.0000
Zr 0.2500 0.7500 0.0000
Zr 0.7500 0.2500 0.0000
Zr 0.7500 0.7500 0.0000
Al 0.0000 0.0000 0.5000
Al 0.5000 0.5000 0.5000
Te 0.0000 0.5000 0.5000
Te 0.5000 0.0000 0.5000
```

R.
## Zr2AlTe (PBEsol)

Data for a relaxed Zr2AlTe crystal. Values from VASP.

The crystal system is trigonal. Its density of states at the Fermi level is 8.56 states/eV/cell.

The structure in Quantum ESPRESSO input format:
```
&SYSTEM
  ibrav = 0, nat = 12, ntyp = 3
/
ATOMIC_SPECIES
Zr 91.22 Zr.upf
Al 26.98 Al.upf
Te 127.60 Te.upf
CELL_PARAMETERS angstrom
3.8857 0.0000 0.0000
-1.9429 3.3651 0.0000
0.0000 0.0000 20.5514
ATOMIC_POSITIONS crystal
Zr 0.0000 0.0000 0.2421
Zr 0.0000 0.0000 0.7579
Zr 0.3333 0.6667 0.4245
Zr 0.3333 0.6667 0.9088
Zr 0.6667 0.3333 0.0912
Zr 0.6667 0.3333 0.5755
Al 0.0000 0.0000 0.5000
Al 0.3333 0.6667 0.1667
Al 0.6667 0.3333 0.8333
Te 0.0000 0.0000 0.0000
Te 0.3333 0.6667 0.6667
Te 0.6667 0.3333 0.3333
```

Which is most stable, and by how much? Q, by 0.010 eV/atom.

P.
## ZrTi3Al (PBEsol)

Data for a relaxed ZrTi3Al crystal. Values from VASP.

The crystal system is cubic. Its density of states at the Fermi level is 8.29 states/eV/cell.

The structure in Quantum ESPRESSO input format:
```
&SYSTEM
  ibrav = 0, nat = 5, ntyp = 3
/
ATOMIC_SPECIES
Zr 91.22 Zr.upf
Ti 47.87 Ti.upf
Al 26.98 Al.upf
CELL_PARAMETERS angstrom
4.6821 0.0000 0.0000
0.0000 4.6821 0.0000
0.0000 0.0000 4.6821
ATOMIC_POSITIONS crystal
Zr 0.0000 0.0000 0.0000
Ti 0.0000 0.5000 0.5000
Ti 0.5000 0.0000 0.5000
Ti 0.5000 0.5000 0.0000
Al 0.5000 0.5000 0.5000
```

Q.
## ZrTi3Al (PBEsol)

Data for a relaxed ZrTi3Al crystal. Values from VASP.

The crystal system is cubic. Its density of states at the Fermi level is 8.19 states/eV/cell.

The structure in Quantum ESPRESSO input format:
```
&SYSTEM
  ibrav = 0, nat = 5, ntyp = 3
/
ATOMIC_SPECIES
Zr 91.22 Zr.upf
Ti 47.87 Ti.upf
Al 26.98 Al.upf
CELL_PARAMETERS angstrom
4.7031 0.0000 0.0000
0.0000 4.7031 0.0000
0.0000 0.0000 4.7031
ATOMIC_POSITIONS crystal
Zr 0.0000 0.0000 0.0000
Ti 0.0000 0.0000 0.5000
Ti 0.0000 0.5000 0.0000
Ti 0.5000 0.0000 0.0000
Al 0.5000 0.5000 0.5000
```

Which is most stable, and by how much? P, by 0.343 eV/atom.